## i
MgZr2Sc2 after structural relaxation, computed with PBE.

Values from the calculation:
Crystal system: trigonal
Symmetry: P-3m1 (164)

```
MgZr2Sc2
1.0
-2.252 1.533 1.753
-0.348 -3.146 -0.689
6.438 -3.121 10.998
Zr Sc Mg
2 2 1
Direct
0.333 0.667 0.899
0.667 0.333 0.101
0.667 0.333 0.707
0.333 0.667 0.293
0.000 0.000 0.500
```


## ii
MgZr2Sc2 after structural relaxation, computed with PBE.

Values from the calculation:
Crystal system: tetragonal
Symmetry: P4/mbm (127)

```
MgZr2Sc2
1.0
7.966 0.000 0.000
0.000 7.966 0.000
0.000 0.000 3.740
Sc Zr Mg
4 4 2
Direct
0.350 0.850 0.000
0.150 0.350 0.000
0.650 0.150 0.000
0.850 0.650 0.000
0.642 0.858 0.500
0.358 0.142 0.500
0.142 0.642 0.500
0.858 0.358 0.500
0.500 0.500 0.000
0.000 0.000 0.000
```


Tell me which of them is the least stable. Sure, it is ii.


## i
MgZr3Sc3 after structural relaxation, computed with PBE.

Values from the calculation:
Crystal system: monoclinic
Symmetry: C2/m (12)

```
MgZr3Sc3
1.0
-4.816 -0.429 -5.353
-1.108 -2.755 -6.573
-4.367 -11.400 -0.027
Zr Sc Mg
6 6 2
Direct
0.268 0.665 0.604
0.732 0.335 0.396
0.601 0.996 0.605
0.067 0.668 0.398
0.933 0.332 0.602
0.399 0.004 0.395
0.467 0.667 0.800
0.199 0.999 0.200
0.533 0.333 0.200
0.801 0.001 0.800
0.867 0.666 0.201
0.133 0.334 0.799
0.332 0.332 0.000
0.668 0.668 0.000
```


## ii
MgZr3Sc3 after structural relaxation, computed with PBE.

Values from the calculation:
Crystal system: trigonal
Symmetry: R-3 (148)

```
MgZr3Sc3
1.0
7.852 0.000 0.000
3.926 6.800 0.000
3.926 2.267 6.516
Zr Mg Sc
6 2 6
Direct
0.927 0.192 0.164
0.717 0.927 0.164
0.808 0.283 0.836
0.192 0.717 0.164
0.073 0.808 0.836
0.283 0.073 0.836
0.342 0.342 0.974
0.658 0.658 0.026
0.739 0.064 0.635
0.562 0.739 0.635
0.438 0.261 0.365
0.261 0.936 0.365
0.064 0.562 0.635
0.936 0.438 0.365
```


Tell me which of them is the least stable. Sure, it is ii.